# 1
Here is crystalline BaAcCuRh at its relaxed geometry from the Alexandria database. Energies are from PBE.

Calculated values
* space-group type: No. 216
* E: -18.11 eV per cell
* DOS(E_F): 1.32 states/eV per cell

Unit cell a=5.3587 b=5.3587 c=5.3587 alpha=60.00 beta=60.00 gamma=60.00
Closest atoms and distances in Å follow each position.
Fractional positions:
Ac 0.0000 0.0000 0.0000  4 Cu 3.28, 4 Rh 3.28
Rh 0.7500 0.7500 0.7500  4 Ba 3.28, 4 Ac 3.28
Ba 0.5000 0.5000 0.5000  4 Rh 3.28, 4 Cu 3.28
Cu 0.2500 0.2500 0.2500  4 Ba 3.28, 4 Ac 3.28



# 2
Here is crystalline BaAcCu2S4 at its relaxed geometry from the Alexandria database. Energies are from PBE.

Calculated values
* energy relative to the elements, uncorrected: -117.2 kJ/mol of atoms
* space-group type: No. 139
* E: -40.45 eV per cell
* DOS(E_F): 0.18 states/eV per cell

Unit cell a=6.7798 b=6.2962 c=6.2962 alpha=65.15 beta=57.42 gamma=57.42
Closest atoms and distances in Å follow each position.
Fractional positions:
Ba 0.5000 0.5000 0.5000  8 S 3.15
Ac 0.0000 0.0000 0.0000  8 S 3.14-3.15
Cu 0.2500 0.2500 0.2500  4 S 2.40
Cu 0.7500 0.7500 0.7500  4 S 2.40
S 0.4996 0.9999 0.5007  2 Cu 2.40
S 0.0003 0.0001 0.4993  2 Cu 2.40
S 0.9997 0.5007 0.9999  2 Cu 2.40
S 0.5004 0.4993 0.0001  2 Cu 2.40



# 3
Here is crystalline BaAcCuSb at its relaxed geometry from the Alexandria database. Energies are from PBE.

Calculated values
* energy relative to the elements, uncorrected: -42.9 kJ/mol of atoms
* space-group type: No. 216
* E: -16.03 eV per cell
* DOS(E_F): 4.36 states/eV per cell

Unit cell a=5.7121 b=5.7121 c=5.7121 alpha=60.00 beta=60.00 gamma=60.00
Closest atoms and distances in Å follow each position.
Fractional positions:
Sb 0.7500 0.7500 0.7500  4 Ba 3.50, 4 Ac 3.50
Ac 0.5000 0.5000 0.5000  4 Sb 3.50, 4 Cu 3.50
Ba 0.0000 0.0000 0.0000  4 Sb 3.50, 4 Cu 3.50
Cu 0.2500 0.2500 0.2500  4 Ba 3.50, 4 Ac 3.50



# 4
Here is crystalline BaAcCu2Sb2 at its relaxed geometry from the Alexandria database. Energies are from PBE.

Calculated values
* energy relative to the elements, uncorrected: -69.7 kJ/mol of atoms
* space-group type: No. 164
* E: -26.80 eV per cell
* DOS(E_F): 3.76 states/eV per cell

Unit cell a=4.5496 b=4.5496 c=9.4884 alpha=90.00 beta=90.00 gamma=120.00
Closest atoms and distances in Å follow each position.
Fractional positions:
Ba 0.0000 0.0000 0.0000  6 Sb 3.58, 6 Cu 3.74
Ac 0.0000 0.0000 0.5000  6 Cu 3.35, 6 Sb 3.50
Cu 0.3333 0.6667 0.7188  3 Sb 2.64
Cu 0.6667 0.3333 0.2812  3 Sb 2.64
Sb 0.3333 0.6667 0.2569  3 Cu 2.64
Sb 0.6667 0.3333 0.7431  3 Cu 2.64



# 5
Here is crystalline BaAcCuSe3 at its relaxed geometry from the Alexandria database. Energies are from PBE.

Calculated values
* energy relative to the elements, uncorrected: -154.0 kJ/mol of atoms
* space-group type: No. 63
* E: -60.31 eV per cell

Unit cell a=4.3854 b=7.3934 c=11.6140 alpha=90.00 beta=90.00 gamma=107.25
Closest atoms and distances in Å follow each position.
Fractional positions:
Ba 0.7472 0.4945 0.7500  6 Se 3.32-3.35
Ba 0.2528 0.5055 0.2500  6 Se 3.32-3.35
Ac 0.0000 0.0000 0.5000  6 Se 3.07-3.10
Ac 0.0000 0.0000 0.0000  6 Se 3.07-3.10
Cu 0.4673 0.9347 0.7500  4 Se 2.49-2.63
Cu 0.5327 0.0653 0.2500  4 Se 2.49-2.63
Se 0.6401 0.2803 0.4201  1 Cu 2.49
Se 0.3599 0.7197 0.5799  1 Cu 2.49
Se 0.3599 0.7197 0.9201  1 Cu 2.49
Se 0.6401 0.2803 0.0799  1 Cu 2.49
Se 0.0704 0.1408 0.7500  2 Cu 2.63
Se 0.9296 0.8592 0.2500  2 Cu 2.63



# 6
Here is crystalline BaAcCuSe4 at its relaxed geometry from the Alexandria database. Energies are from PBE.

Calculated values
* energy relative to the elements, uncorrected: -127.6 kJ/mol of atoms
* space-group type: No. 63
* E: -66.65 eV per cell
* DOS(E_F): 3.03 states/eV per cell

Unit cell a=6.4567 b=6.3857 c=9.8267 alpha=90.00 beta=109.18 gamma=90.00
Closest atoms and distances in Å follow each position.
Fractional positions:
Ba 0.6084 0.7500 0.2167  9 Se 3.27-3.47, 2 Cu 3.60
Ba 0.3916 0.2500 0.7833  9 Se 3.27-3.47, 2 Cu 3.60
Ac 0.1033 0.2500 0.2066  5 Se 3.12-3.29
Ac 0.8967 0.7500 0.7934  5 Se 3.12-3.29
Cu 0.3017 0.7500 0.6034  5 Se 2.38-2.46
Cu 0.6983 0.2500 0.3966  5 Se 2.38-2.46
Se 0.9354 0.2500 0.8708  3 Ac 3.12-3.27, 2 Ba 3.33
Se 0.4300 0.7500 0.8601  1 Cu 2.38
Se 0.0646 0.7500 0.1292  3 Ac 3.12-3.27, 2 Ba 3.33
Se 0.5700 0.2500 0.1399  1 Cu 2.38
Se 0.5000 0.5000 0.5000  2 Cu 2.46
Se 0.0000 0.0000 0.5000  2 Cu 2.46
Se 0.5000 0.0000 0.5000  2 Cu 2.46
Se 0.0000 0.5000 0.5000  2 Cu 2.46



# 7
Here is crystalline BaAcCuSn at its relaxed geometry from the Alexandria database. Energies are from PBE.

Calculated values
* space-group type: No. 216
* E: -15.41 eV per cell
* DOS(E_F): 0.96 states/eV per cell

Unit cell a=5.7390 b=5.7390 c=5.7390 alpha=60.00 beta=60.00 gamma=60.00
Closest atoms and distances in Å follow each position.
Fractional positions:
Ac 0.5000 0.5000 0.5000  4 Sn 3.51, 4 Cu 3.51
Ba 0.0000 0.0000 0.0000  4 Sn 3.51, 4 Cu 3.51
Cu 0.7500 0.7500 0.7500  4 Ba 3.51, 4 Ac 3.51
Sn 0.2500 0.2500 0.2500  4 Ba 3.51, 4 Ac 3.51



# 8
Here is crystalline BaAcZnCu at its relaxed geometry from the Alexandria database. Energies are from PBE.

Calculated values
* space-group type: No. 216
* E: -11.61 eV per cell
* DOS(E_F): 2.50 states/eV per cell

Unit cell a=5.5623 b=5.5623 c=5.5623 alpha=60.00 beta=60.00 gamma=60.00
Closest atoms and distances in Å follow each position.
Fractional positions:
Zn 0.5000 0.5000 0.5000  4 Ba 3.41, 4 Ac 3.41
Ac 0.7500 0.7500 0.7500  4 Cu 3.41, 4 Zn 3.41
Ba 0.2500 0.2500 0.2500  4 Cu 3.41, 4 Zn 3.41
Cu 0.0000 0.0000 0.0000  4 Ba 3.41, 4 Ac 3.41



# 9
Here is crystalline BaAcDy2 at its relaxed geometry from the Alexandria database. Energies are from PBE.

Calculated values
* space-group type: No. 123
* E: -14.53 eV per cell
* DOS(E_F): 7.34 states/eV per cell

Unit cell a=3.8510 b=3.8510 c=10.8248 alpha=90.00 beta=90.00 gamma=90.00
Closest atoms and distances in Å follow each position.
Fractional positions:
Ac 0.5000 0.5000 0.0000  8 Dy 3.69, 4 Ac 3.85
Ba 0.5000 0.5000 0.5000  4 Ba 3.85, 8 Dy 4.00
Dy 0.0000 0.0000 0.7706  4 Ac 3.69, 4 Dy 3.85, 4 Ba 4.00
Dy 0.0000 0.0000 0.2294  4 Ac 3.69, 4 Dy 3.85, 4 Ba 4.00



# 10
Here is crystalline BaAc6Dy2 at its relaxed geometry from the Alexandria database. Energies are from PBE.

Calculated values
* space-group type: No. 162
* E: -31.56 eV per cell
* DOS(E_F): 13.16 states/eV per cell

Unit cell a=6.6491 b=6.6491 c=12.6263 alpha=90.00 beta=90.00 gamma=120.00
Closest atoms and distances in Å follow each position.
Fractional positions:
Ba 0.0000 0.0000 0.0000  6 Ac 4.15
Ac 0.3302 0.3302 0.7211  2 Dy 3.57, 6 Ac 3.80-3.86
Ac 0.6698 0.0000 0.7211  2 Dy 3.57, 6 Ac 3.80-3.86
Ac 0.0000 0.6698 0.7211  2 Dy 3.57, 6 Ac 3.80-3.86
Ac 0.3302 0.0000 0.2789  2 Dy 3.57, 6 Ac 3.80-3.86
Ac 0.0000 0.3302 0.2789  2 Dy 3.57, 6 Ac 3.80-3.86
Ac 0.6698 0.6698 0.2789  2 Dy 3.57, 6 Ac 3.80-3.86
Dy 0.6667 0.3333 0.5000  6 Ac 3.57, 3 Dy 3.84
Dy 0.3333 0.6667 0.5000  6 Ac 3.57, 3 Dy 3.84



# 11
Here is crystalline BaAcDy2 at its relaxed geometry from the Alexandria database. Energies are from PBE.

Calculated values
* space-group type: No. 166
* E: -14.17 eV per cell
* DOS(E_F): 6.69 states/eV per cell

Unit cell a=3.7334 b=3.7334 c=13.3597 alpha=81.97 beta=81.97 gamma=60.00
Closest atoms and distances in Å follow each position.
Fractional positions:
Ac 0.5000 0.5000 0.5000  6 Dy 3.66, 6 Ac 3.73
Ba 0.0000 0.0000 0.0000  2 Dy 3.63, 6 Ba 3.73
Dy 0.0918 0.0918 0.7246  1 Ba 3.63, 3 Ac 3.66, 6 Dy 3.73
Dy 0.9082 0.9082 0.2754  1 Ba 3.63, 3 Ac 3.66, 6 Dy 3.73



# 12
Here is crystalline BaAcEuDy at its relaxed geometry from the Alexandria database. Energies are from PBE.

Calculated values
* space-group type: No. 216
* E: -20.12 eV per cell
* DOS(E_F): 4.73 states/eV per cell

Unit cell a=6.2587 b=6.2587 c=6.2587 alpha=60.00 beta=60.00 gamma=60.00
Closest atoms and distances in Å follow each position.
Fractional positions:
Eu 0.0000 0.0000 0.0000  4 Ba 3.83, 4 Dy 3.83
Ac 0.5000 0.5000 0.5000  4 Dy 3.83, 4 Ba 3.83
Ba 0.2500 0.2500 0.2500  4 Ac 3.83, 4 Eu 3.83
Dy 0.7500 0.7500 0.7500  4 Ac 3.83, 4 Eu 3.83